(1)
First-principles (PBE) data for a relaxed Sb3OsC crystal, as listed in Alexandria.

It has space group Pm-3m (No. 221), with a = 4.565 Å, b = 4.565 Å, c = 4.565 Å, α = 90.00°, β = 90.00° and γ = 90.00°. The distinct sites, in fractional coordinates, are Sb at (0.000, 0.000, 0.500), Os at (0.500, 0.500, 0.500) and C at (0.000, 0.000, 0.000).

The formation energy from raw total energies comes out at 1.382 eV/atom. The calculation puts the energy above the most stable polymorph in this dataset at 0.0000 eV/atom.

(2)
First-principles (PBE) data for a relaxed Ba2CdGe3Pt12 crystal, as listed in Alexandria.

It has space group R-3m (No. 166, hexagonal axes), with a = 8.5158 Å, b = 8.5158 Å, c = 18.9508 Å, α = 90.00°, β = 90.00° and γ = 120.00°. The distinct sites, in fractional coordinates, are Ba at (0.0000, 0.0000, 0.1079), Cd at (0.0000, 0.0000, 0.5000), Ge at (0.0000, 0.5000, 0.0000), Pt at (0.0086, 0.5043, 0.8724) and Pt at (0.0420, 0.5210, 0.3731).

As for the formation enthalpy at 0 K: -0.149 eV/atom.

(3)
First-principles (PBE) data for a relaxed MnSnAsPtI crystal, as listed in Alexandria.

It has space group P3m1 (No. 156), with a = 3.8998 Å, b = 3.8998 Å, c = 9.2189 Å, α = 90.00°, β = 90.00° and γ = 120.00°. The distinct sites, in fractional coordinates, are Mn at (0.0000, 0.0000, 0.0000), Sn at (0.3333, 0.6667, 0.5413), As at (0.3333, 0.6667, 0.8673), Pt at (0.6667, 0.3333, 0.7219) and I at (0.6667, 0.3333, 0.1964).

The formation energy from raw total energies comes out at -0.140 eV/atom. The calculation puts the energy above the most stable polymorph in this dataset at 0.1024 eV/atom.

Q: Which raw total energy values were calculated for the entries above? A: -25.910 -281.343 -26.111, in eV/cell.